No. 1
Si8Os | PBE | relaxed

CIF file:
```
data_Si8Os
_chemical_formula_sum 'Si16 Os2'
_cell_length_a 7.960
_cell_length_b 7.960
_cell_length_c 3.954
_cell_angle_alpha 90.00
_cell_angle_beta 90.00
_cell_angle_gamma 90.00
_symmetry_space_group_name_H-M 'I 4/m m m'
_symmetry_Int_Tables_number 139
_symmetry_space_group_name_Hall '-I 4 2'
loop_
_atom_site_label
_atom_site_type_symbol
_atom_site_fract_x
_atom_site_fract_y
_atom_site_fract_z
Si1 Si 0.000 0.333 0.000
Si2 Si 0.162 0.162 0.500
Os1 Os 0.000 0.000 0.000
```

## Properties
ρ = 5501 kg/m³
formation energy (no corrections) = 0.361 eV/atom
energy = -5.708 eV/atom


No. 2
Tb5ErTm4 | PBE | relaxed

CIF file:
```
data_Tb5ErTm4
_chemical_formula_sum 'Tb10 Er2 Tm8'
_cell_length_a 16.719
_cell_length_b 3.498
_cell_length_c 11.224
_cell_angle_alpha 90.00
_cell_angle_beta 108.76
_cell_angle_gamma 90.00
_symmetry_space_group_name_H-M 'C 1 2/m 1'
_symmetry_Int_Tables_number 12
loop_
_symmetry_equiv_pos_as_xyz
'x,y,z'
'-x,-y,-z'
'-x,y,-z'
'x,-y,z'
'x+1/2,y+1/2,z'
'-x+1/2,-y+1/2,-z'
'-x+1/2,y+1/2,-z'
'x+1/2,-y+1/2,z'
loop_
_atom_site_label
_atom_site_type_symbol
_atom_site_fract_x
_atom_site_fract_y
_atom_site_fract_z
Tb1 Tb 0.000 0.000 0.000
Tb2 Tb 0.189 0.500 0.076
Tb3 Tb 0.212 0.500 0.618
Er1 Er 0.000 0.000 0.500
Tm1 Tm 0.083 0.500 0.294
Tm2 Tm 0.105 0.000 0.795
```

## Properties
formation energy = 0.038 eV/atom
ρ = 8750 kg/m³
energy = -4.522 eV/atom


No. 3
Tm7TlGa5 | PBE | relaxed

CIF file:
```
data_Tm7TlGa5
_chemical_formula_sum 'Tm14 Tl2 Ga10'
_cell_length_a 6.161
_cell_length_b 9.989
_cell_length_c 10.201
_cell_angle_alpha 90.00
_cell_angle_beta 90.00
_cell_angle_gamma 90.00
_symmetry_space_group_name_H-M 'I m m 2'
_symmetry_Int_Tables_number 44
loop_
_symmetry_equiv_pos_as_xyz
'x,y,z'
'-x,-y,z'
'-x,y,z'
'x,-y,z'
'x+1/2,y+1/2,z+1/2'
'-x+1/2,-y+1/2,z+1/2'
'-x+1/2,y+1/2,z+1/2'
'x+1/2,-y+1/2,z+1/2'
loop_
_atom_site_label
_atom_site_type_symbol
_atom_site_fract_x
_atom_site_fract_y
_atom_site_fract_z
Tm1 Tm 0.000 0.000 0.000
Tm2 Tm 0.000 0.000 0.355
Tm3 Tm 0.000 0.320 0.229
Tm4 Tm 0.000 0.324 0.703
Tm5 Tm 0.000 0.500 0.979
Tl1 Tl 0.000 0.000 0.682
Ga1 Ga 0.000 0.500 0.468
Ga2 Ga 0.245 0.246 0.462
```

## Properties
formation energy = -0.356 eV/atom
ρ = 9181 kg/m³
energy = -4.109 eV/atom